(1)
Compound: NaTlIn
Source: the Alexandria database
Functional: PBE
Structure: optimized geometry

Results
E_form = -0.11 eV/atom

Lattice parameters (Å, degrees): 4.252 4.991 8.138 90.00 104.57 90.00
Space group P2_1 (No. 4)
Asymmetric unit:
Na1 0.086 0.000 0.164 x2
Tl1 0.400 0.000 0.804 x2
In1 0.254 0.498 0.507 x2


(2)
Compound: KMn3Mo
Source: the Alexandria database
Functional: PBE
Structure: optimized geometry

Results
E_form = 1.16 eV/atom

Lattice parameters (Å, degrees): 4.940 4.940 4.940 90.00 90.00 90.00
Space group Pm-3m (No. 221)
Asymmetric unit:
K1 0.000 0.000 0.000 x1
Mn1 0.000 0.500 0.500 x3
Mo1 0.500 0.500 0.500 x1


(3)
Compound: NaLi4Cd5
Source: the Alexandria database
Functional: PBE
Structure: optimized geometry

Results
E_form = -0.21 eV/atom

Lattice parameters (Å, degrees): 3.414 3.414 17.145 90.00 90.00 90.00
Space group P4/mmm (No. 123)
Asymmetric unit:
Na1 0.000 0.000 0.000 x1
Li1 0.000 0.000 0.222 x2
Li2 0.000 0.000 0.407 x2
Cd1 0.500 0.500 0.132 x2
Cd2 0.500 0.500 0.315 x2
Cd3 0.500 0.500 0.500 x1


(4)
Compound: Be2HgW
Source: the Alexandria database
Functional: PBE
Structure: optimized geometry

Results
E_form = 0.58 eV/atom

Lattice parameters (Å, degrees): 5.659 7.949 2.717 90.00 112.64 90.00
Space group C2/m (No. 12)
Asymmetric unit:
Be1 0.250 0.250 0.000 x4
Hg1 0.000 0.000 0.500 x2
W1 0.000 0.500 0.500 x2


(5)
Compound: K2RbF6
Source: the Alexandria database
Functional: PBE
Structure: optimized geometry

Results
Raw formation energy = -1.869 eV/atom

Lattice parameters (Å, degrees): 11.359 7.233 4.195 90.00 99.27 90.00
Space group C2/m (No. 12)
Asymmetric unit:
K1 0.171 0.000 0.296 x4
Rb1 0.000 0.500 0.000 x2
F1 0.000 0.233 0.500 x4
F2 0.158 0.241 0.790 x8


(6)
Compound: SrMgTeI2
Source: the Alexandria database
Functional: PBE
Structure: optimized geometry

Results
Raw formation energy = -0.469 eV/atom

Lattice parameters (Å, degrees): 6.181 6.181 6.542 90.00 90.00 90.00
Space group P4/mmm (No. 123)
Asymmetric unit:
Sr1 0.000 0.000 0.000 x1
Mg1 0.500 0.500 0.500 x1
Te1 0.000 0.000 0.500 x1
I1 0.000 0.500 0.000 x2


(7)
Compound: LaTlSn4
Source: the Alexandria database
Functional: PBE
Structure: optimized geometry

Results
E_form = -0.27 eV/atom

Lattice parameters (Å, degrees): 8.869 8.869 8.869 90.00 90.00 90.00
Space group F-43m (No. 216)
Asymmetric unit:
La1 0.000 0.000 0.000 x4
Tl1 0.250 0.250 0.750 x4
Sn1 0.125 0.125 0.375 x16


(8)
Compound: Ce3NdEr2S6
Source: the Alexandria database
Functional: PBE
Structure: optimized geometry

Results
Raw formation energy = -2.017 eV/atom

Lattice parameters (Å, degrees): 6.874 11.913 6.935 90.00 109.35 90.00
Space group C2/m (No. 12)
Asymmetric unit:
Ce1 0.000 0.000 0.000 x2
Ce2 0.000 0.337 0.000 x4
Nd1 0.000 0.500 0.500 x2
Er1 0.000 0.167 0.500 x4
S1 0.235 0.000 0.737 x4
S2 0.248 0.172 0.259 x8


The records above yield total magnetization values of 0.00; 10.11; 0.00; 0.00; 1.02; 0.02; 0.00; 2.53 μB/f.u., respectively.
The records above yield uncorrected energy values of -2.25; -6.73; -1.57; -4.60; -3.47; -2.37; -4.16; -6.72 eV per atom, respectively.